Run w
The following is a PBE calculation of a relaxed ZrNiRu crystal, from Alexandria via LeMat-Bulk.

Cell lengths 7.9319, 4.9550, 6.0286 Å; angles 90.00, 127.23, 90.00 degrees
Sites, in units of the cell vectors:
Zr 0.0000 0.0000 0.0000
Zr 0.0000 0.2890 0.5000
Zr 0.5000 0.5000 0.0000
Zr 0.5000 0.7890 0.5000
Ni 0.1320 0.7476 0.4464
Ni 0.3680 0.2476 0.5536
Ni 0.6320 0.2476 0.4464
Ni 0.8680 0.7476 0.5536
Ru 0.1991 0.4860 0.0907
Ru 0.3009 0.9860 0.9093
Ru 0.6991 0.9860 0.0907
Ru 0.8009 0.4860 0.9093

* space-group type: C2, No. 5

***

Run x
The following is a PBE calculation of a relaxed ZrNiRu crystal, from Alexandria via LeMat-Bulk.

Cell lengths 5.9189, 5.9189, 5.9189 Å; angles 90.00, 90.00, 90.00 degrees
Sites, in units of the cell vectors:
Zr 0.0000 0.0000 0.0000
Zr 0.0000 0.5000 0.5000
Zr 0.5000 0.0000 0.5000
Zr 0.5000 0.5000 0.0000
Ni 0.2500 0.2500 0.7500
Ni 0.2500 0.7500 0.2500
Ni 0.7500 0.2500 0.2500
Ni 0.7500 0.7500 0.7500
Ru 0.0000 0.0000 0.5000
Ru 0.0000 0.5000 0.0000
Ru 0.5000 0.0000 0.0000
Ru 0.5000 0.5000 0.5000

* space-group type: F-43m, No. 216

***

Most stable structure among those shown: run w.